Model i:
Density functional theory data (PBE-GGA) for a relaxed ZnFeGeTe3 crystal.

The calculation puts the magnetic moment at 0.555 μB/atom.

The space group is Cmcm (No. 63) and the conventional cell measures 3.976, 14.233 and 10.134 Å, with angles of 90.00, 90.00 and 90.00 degrees. Symmetry generates all atoms from Zn at (0.000, 0.027, 0.250), Fe at (0.000, 0.500, 0.000), Ge at (0.000, 0.270, 0.750), Te at (0.000, 0.143, 0.049) and Te at (0.000, 0.407, 0.250).

Model ii:
Density functional theory data (PBE-GGA) for a relaxed ZnFeGeTe3 crystal.

The calculation puts the magnetic moment at 0.464 μB/atom.

The space group is Cmcm (No. 63) and the conventional cell measures 3.812, 13.539 and 11.810 Å, with angles of 90.00, 90.00 and 90.00 degrees. Symmetry generates all atoms from Zn at (0.000, 0.000, 0.000), Fe at (0.000, 0.452, 0.250), Ge at (0.000, 0.182, 0.750), Te at (0.000, 0.083, 0.250) and Te at (0.000, 0.361, 0.057).

Most stable one: model ii, least stable one: model i.

Model i:
Density functional theory data (PBE-GGA) for a relaxed YZnFeGe crystal.

The calculation puts the magnetic moment at 0.430 μB/atom.

The space group is F-43m (No. 216) and the conventional cell measures 6.495, 6.495 and 6.495 Å, with angles of 90.00, 90.00 and 90.00 degrees. Symmetry generates all atoms from Y at (0.000, 0.000, 0.000), Zn at (0.250, 0.250, 0.250), Fe at (0.250, 0.250, 0.750) and Ge at (0.000, 0.000, 0.500).

Model ii:
Density functional theory data (PBE-GGA) for a relaxed YZnFeGe crystal.

The calculation puts the magnetic moment at 0.569 μB/atom.

The space group is F-43m (No. 216) and the conventional cell measures 6.565, 6.565 and 6.565 Å, with angles of 90.00, 90.00 and 90.00 degrees. Symmetry generates all atoms from Y at (0.000, 0.000, 0.000), Zn at (0.250, 0.250, 0.750), Fe at (0.000, 0.000, 0.500) and Ge at (0.250, 0.250, 0.250).

Most stable one: model ii, least stable one: model i.

Model i:
Density functional theory data (PBE-GGA) for a relaxed Fe3H crystal.

The calculation puts the magnetic moment at 1.526 μB/atom.

The space group is Pm-3m (No. 221) and the conventional cell measures 3.395, 3.395 and 3.395 Å, with angles of 90.00, 90.00 and 90.00 degrees. Symmetry generates all atoms from Fe at (0.000, 0.000, 0.500) and H at (0.500, 0.500, 0.500).

Model ii:
Density functional theory data (PBE-GGA) for a relaxed Fe3H crystal.

The calculation puts the magnetic moment at 1.643 μB/atom.

The space group is P6_3/mmc (No. 194) and the conventional cell measures 4.9515, 4.9515 and 3.7231 Å, with angles of 90.00, 90.00 and 120.00 degrees. Symmetry generates all atoms from Fe at (0.1696, 0.3391, 0.2500) and H at (0.3333, 0.6667, 0.7500).

Most stable one: model ii, least stable one: model i.

Model i:
Density functional theory data (PBE-GGA) for a relaxed LiHfInFe crystal.

The calculation puts the magnetic moment at 0.421 μB/atom.

The space group is F-43m (No. 216) and the conventional cell measures 6.381, 6.381 and 6.381 Å, with angles of 90.00, 90.00 and 90.00 degrees. Symmetry generates all atoms from Li at (0.000, 0.000, 0.000), Hf at (0.250, 0.250, 0.750), In at (0.250, 0.250, 0.250) and Fe at (0.000, 0.000, 0.500).

Model ii:
Density functional theory data (PBE-GGA) for a relaxed LiHfInFe crystal.

The calculation puts the magnetic moment at 0.516 μB/atom.

The space group is F-43m (No. 216) and the conventional cell measures 6.512, 6.512 and 6.512 Å, with angles of 90.00, 90.00 and 90.00 degrees. Symmetry generates all atoms from Li at (0.000, 0.000, 0.000), Hf at (0.250, 0.250, 0.250), In at (0.000, 0.000, 0.500) and Fe at (0.250, 0.250, 0.750).

Most stable one: model i, least stable one: model ii.

Model i:
Density functional theory data (PBE-GGA) for a relaxed HfMgInFe crystal.

The calculation puts the magnetic moment at 0.559 μB/atom.

The space group is F-43m (No. 216) and the conventional cell measures 6.691, 6.691 and 6.691 Å, with angles of 90.00, 90.00 and 90.00 degrees. Symmetry generates all atoms from Hf at (0.000, 0.000, 0.000), Mg at (0.250, 0.250, 0.750), In at (0.250, 0.250, 0.250) and Fe at (0.000, 0.000, 0.500).

Model ii:
Density functional theory data (PBE-GGA) for a relaxed HfMgInFe crystal.

The calculation puts the magnetic moment at 0.264 μB/atom.

The space group is F-43m (No. 216) and the conventional cell measures 6.550, 6.550 and 6.550 Å, with angles of 90.00, 90.00 and 90.00 degrees. Symmetry generates all atoms from Hf at (0.000, 0.000, 0.000), Mg at (0.250, 0.250, 0.250), In at (0.000, 0.000, 0.500) and Fe at (0.250, 0.250, 0.750).

Most stable one: model ii, least stable one: model i.

Model i:
Density functional theory data (PBE-GGA) for a relaxed HfFeSbIr crystal.

The calculation puts the magnetic moment at 0.490 μB/atom.

The space group is F-43m (No. 216) and the conventional cell measures 6.442, 6.442 and 6.442 Å, with angles of 90.00, 90.00 and 90.00 degrees. Symmetry generates all atoms from Hf at (0.000, 0.000, 0.000), Fe at (0.250, 0.250, 0.750), Sb at (0.000, 0.000, 0.500) and Ir at (0.250, 0.250, 0.250).

Model ii:
Density functional theory data (PBE-GGA) for a relaxed HfFeSbIr crystal.

The calculation puts the magnetic moment at 0.699 μB/atom.

The space group is F-43m (No. 216) and the conventional cell measures 6.532, 6.532 and 6.532 Å, with angles of 90.00, 90.00 and 90.00 degrees. Symmetry generates all atoms from Hf at (0.000, 0.000, 0.000), Fe at (0.000, 0.000, 0.500), Sb at (0.250, 0.250, 0.250) and Ir at (0.250, 0.250, 0.750).

Most stable one: model i, least stable one: model ii.

Model i:
Density functional theory data (PBE-GGA) for a relaxed LiHfNbFe crystal.

The calculation puts the magnetic moment at 0.000 μB/atom.

The space group is F-43m (No. 216) and the conventional cell measures 6.241, 6.241 and 6.241 Å, with angles of 90.00, 90.00 and 90.00 degrees. Symmetry generates all atoms from Li at (0.000, 0.000, 0.000), Hf at (0.250, 0.250, 0.750), Nb at (0.250, 0.250, 0.250) and Fe at (0.000, 0.000, 0.500).

Model ii:
Density functional theory data (PBE-GGA) for a relaxed LiHfNbFe crystal.

The calculation puts the magnetic moment at 0.000 μB/atom.

The space group is F-43m (No. 216) and the conventional cell measures 6.253, 6.253 and 6.253 Å, with angles of 90.00, 90.00 and 90.00 degrees. Symmetry generates all atoms from Li at (0.000, 0.000, 0.000), Hf at (0.250, 0.250, 0.750), Nb at (0.000, 0.000, 0.500) and Fe at (0.250, 0.250, 0.250).

Most stable one: model i, least stable one: model ii.

Model i:
Density functional theory data (PBE-GGA) for a relaxed LiHfFeSn crystal.

The calculation puts the magnetic moment at 0.440 μB/atom.

The space group is F-43m (No. 216) and the conventional cell measures 6.479, 6.479 and 6.479 Å, with angles of 90.00, 90.00 and 90.00 degrees. Symmetry generates all atoms from Li at (0.000, 0.000, 0.000), Hf at (0.250, 0.250, 0.250), Fe at (0.250, 0.250, 0.750) and Sn at (0.000, 0.000, 0.500).

Model ii:
Density functional theory data (PBE-GGA) for a relaxed LiHfFeSn crystal.

The calculation puts the magnetic moment at 0.251 μB/atom.

The space group is F-43m (No. 216) and the conventional cell measures 6.307, 6.307 and 6.307 Å, with angles of 90.00, 90.00 and 90.00 degrees. Symmetry generates all atoms from Li at (0.000, 0.000, 0.000), Hf at (0.250, 0.250, 0.750), Fe at (0.000, 0.000, 0.500) and Sn at (0.250, 0.250, 0.250).

Most stable one: model ii, least stable one: model i.

Model i:
Density functional theory data (PBE-GGA) for a relaxed LiHfTlFe crystal.

The calculation puts the magnetic moment at 0.508 μB/atom.

The space group is F-43m (No. 216) and the conventional cell measures 6.548, 6.548 and 6.548 Å, with angles of 90.00, 90.00 and 90.00 degrees. Symmetry generates all atoms from Li at (0.000, 0.000, 0.000), Hf at (0.250, 0.250, 0.250), Tl at (0.000, 0.000, 0.500) and Fe at (0.250, 0.250, 0.750).

Model ii:
Density functional theory data (PBE-GGA) for a relaxed LiHfTlFe crystal.

The calculation puts the magnetic moment at 0.420 μB/atom.

The space group is F-43m (No. 216) and the conventional cell measures 6.429, 6.429 and 6.429 Å, with angles of 90.00, 90.00 and 90.00 degrees. Symmetry generates all atoms from Li at (0.000, 0.000, 0.000), Hf at (0.250, 0.250, 0.750), Tl at (0.250, 0.250, 0.250) and Fe at (0.000, 0.000, 0.500).

Most stable one: model ii, least stable one: model i.

Model i:
Density functional theory data (PBE-GGA) for a relaxed LiHfZnFe crystal.

The calculation puts the magnetic moment at 0.632 μB/atom.

The space group is F-43m (No. 216) and the conventional cell measures 6.200, 6.200 and 6.200 Å, with angles of 90.00, 90.00 and 90.00 degrees. Symmetry generates all atoms from Li at (0.000, 0.000, 0.000), Hf at (0.250, 0.250, 0.750), Zn at (0.000, 0.000, 0.500) and Fe at (0.250, 0.250, 0.250).

Model ii:
Density functional theory data (PBE-GGA) for a relaxed LiHfZnFe crystal.

The calculation puts the magnetic moment at 0.106 μB/atom.

The space group is F-43m (No. 216) and the conventional cell measures 6.106, 6.106 and 6.106 Å, with angles of 90.00, 90.00 and 90.00 degrees. Symmetry generates all atoms from Li at (0.000, 0.000, 0.000), Hf at (0.250, 0.250, 0.750), Zn at (0.250, 0.250, 0.250) and Fe at (0.000, 0.000, 0.500).

Most stable one: model ii, least stable one: model i.

Model i:
Density functional theory data (PBE-GGA) for a relaxed HfMgZnFe crystal.

The calculation puts the magnetic moment at 0.520 μB/atom.

The space group is F-43m (No. 216) and the conventional cell measures 6.385, 6.385 and 6.385 Å, with angles of 90.00, 90.00 and 90.00 degrees. Symmetry generates all atoms from Hf at (0.000, 0.000, 0.000), Mg at (0.250, 0.250, 0.750), Zn at (0.250, 0.250, 0.250) and Fe at (0.000, 0.000, 0.500).

Model ii:
Density functional theory data (PBE-GGA) for a relaxed HfMgZnFe crystal.

The calculation puts the magnetic moment at 0.450 μB/atom.

The space group is F-43m (No. 216) and the conventional cell measures 6.367, 6.367 and 6.367 Å, with angles of 90.00, 90.00 and 90.00 degrees. Symmetry generates all atoms from Hf at (0.000, 0.000, 0.000), Mg at (0.250, 0.250, 0.250), Zn at (0.000, 0.000, 0.500) and Fe at (0.250, 0.250, 0.750).

Most stable one: model ii, least stable one: model i.

Model i:
Density functional theory data (PBE-GGA) for a relaxed HfTlFeNi crystal.

The calculation puts the magnetic moment at 0.581 μB/atom.

The space group is F-43m (No. 216) and the conventional cell measures 6.443, 6.443 and 6.443 Å, with angles of 90.00, 90.00 and 90.00 degrees. Symmetry generates all atoms from Hf at (0.000, 0.000, 0.000), Tl at (0.250, 0.250, 0.250), Fe at (0.250, 0.250, 0.750) and Ni at (0.000, 0.000, 0.500).

Model ii:
Density functional theory data (PBE-GGA) for a relaxed HfTlFeNi crystal.

The calculation puts the magnetic moment at 0.331 μB/atom.

The space group is F-43m (No. 216) and the conventional cell measures 6.332, 6.332 and 6.332 Å, with angles of 90.00, 90.00 and 90.00 degrees. Symmetry generates all atoms from Hf at (0.000, 0.000, 0.000), Tl at (0.000, 0.000, 0.500), Fe at (0.250, 0.250, 0.750) and Ni at (0.250, 0.250, 0.250).

Most stable one: model ii, least stable one: model i.

Model i:
Density functional theory data (PBE-GGA) for a relaxed HfFeOs crystal.

The calculation puts the magnetic moment at 0.855 μB/atom.

The space group is F-43m (No. 216) and the conventional cell measures 5.999, 5.999 and 5.999 Å, with angles of 90.00, 90.00 and 90.00 degrees. Symmetry generates all atoms from Hf at (0.000, 0.000, 0.000), Fe at (0.250, 0.250, 0.750) and Os at (0.250, 0.250, 0.250).

Model ii:
Density functional theory data (PBE-GGA) for a relaxed HfFeOs crystal.

The calculation puts the magnetic moment at 0.161 μB/atom.

The space group is F-43m (No. 216) and the conventional cell measures 5.854, 5.854 and 5.854 Å, with angles of 90.00, 90.00 and 90.00 degrees. Symmetry generates all atoms from Hf at (0.000, 0.000, 0.000), Fe at (0.250, 0.250, 0.250) and Os at (0.000, 0.000, 0.500).

Most stable one: model ii, least stable one: model i.

Model i:
Density functional theory data (PBE-GGA) for a relaxed HfFeOsPb crystal.

The calculation puts the magnetic moment at 0.946 μB/atom.

The space group is F-43m (No. 216) and the conventional cell measures 6.600, 6.600 and 6.600 Å, with angles of 90.00, 90.00 and 90.00 degrees. Symmetry generates all atoms from Hf at (0.000, 0.000, 0.000), Fe at (0.000, 0.000, 0.500), Os at (0.250, 0.250, 0.750) and Pb at (0.250, 0.250, 0.250).

Model ii:
Density functional theory data (PBE-GGA) for a relaxed HfFeOsPb crystal.

The calculation puts the magnetic moment at 0.001 μB/atom.

The space group is F-43m (No. 216) and the conventional cell measures 6.447, 6.447 and 6.447 Å, with angles of 90.00, 90.00 and 90.00 degrees. Symmetry generates all atoms from Hf at (0.000, 0.000, 0.000), Fe at (0.250, 0.250, 0.750), Os at (0.250, 0.250, 0.250) and Pb at (0.000, 0.000, 0.500).

Most stable one: model ii, least stable one: model i.

Model i:
Density functional theory data (PBE-GGA) for a relaxed HfFeSiOs crystal.

The calculation puts the magnetic moment at 0.002 μB/atom.

The space group is F-43m (No. 216) and the conventional cell measures 6.083, 6.083 and 6.083 Å, with angles of 90.00, 90.00 and 90.00 degrees. Symmetry generates all atoms from Hf at (0.000, 0.000, 0.000), Fe at (0.250, 0.250, 0.750), Si at (0.000, 0.000, 0.500) and Os at (0.250, 0.250, 0.250).

Model ii:
Density functional theory data (PBE-GGA) for a relaxed HfFeSiOs crystal.

The calculation puts the magnetic moment at 0.925 μB/atom.

The space group is F-43m (No. 216) and the conventional cell measures 6.233, 6.233 and 6.233 Å, with angles of 90.00, 90.00 and 90.00 degrees. Symmetry generates all atoms from Hf at (0.000, 0.000, 0.000), Fe at (0.000, 0.000, 0.500), Si at (0.250, 0.250, 0.250) and Os at (0.250, 0.250, 0.750).

Most stable one: model i, least stable one: model ii.